Below is a geometry-optimized Cu4TeIBr2 structure, with properties calculated at the PBE-GGA level. Values from VASP.

The structure in Quantum ESPRESSO input format:
```
&SYSTEM
  ibrav = 0, nat = 8, ntyp = 4
/
ATOMIC_SPECIES
Cu 63.55 Cu.upf
Te 127.60 Te.upf
I 126.90 I.upf
Br 79.90 Br.upf
ATOMIC_POSITIONS crystal
Cu 0.614 0.614 0.747
Cu 0.385 0.868 0.253
Cu 0.868 0.385 0.253
Cu 0.132 0.132 0.747
Te 0.500 0.500 0.000
I 0.000 0.000 0.000
Br 0.750 0.250 0.500
Br 0.250 0.750 0.500
CELL_PARAMETERS angstrom
-0.391 -1.334 5.673
3.299 -4.738 -0.888
3.453 6.249 -1.299
```

Computed properties:
* uncorrected formation energy: -0.140 eV/atom
* space-group type: I-42m